SrMg2GePd: optimized geometry, PBE-GGA.

- Space-group type: No. 123

```
SrMg2GePd
1.0
-3.506 -1.178 -3.257
0.219 -5.750 1.845
-3.459 0.953 3.379
Sr Ge Mg Pd
1 1 2 1
Direct
0.000 0.500 0.000
0.000 0.000 0.000
0.000 0.000 0.500
0.500 0.000 0.000
0.500 0.500 0.500
```



SrMgGe2Pd: optimized geometry, PBE-GGA.

- Space-group type: No. 119

```
SrMgGe2Pd
1.0
4.338 0.000 0.000
0.000 4.338 0.000
-2.169 -2.169 5.638
Sr Mg Ge Pd
1 1 2 1
Direct
0.000 0.000 0.000
0.750 0.250 0.500
0.612 0.612 0.225
0.388 0.388 0.775
0.250 0.750 0.500
```



SrMgGe2Pd2: optimized geometry, PBE-GGA.

- Space-group type: No. 164

```
SrMgGe2Pd2
1.0
-1.095 -3.035 -3.022
1.592 -1.264 3.926
-6.766 -0.220 2.674
Sr Mg Ge Pd
1 1 2 2
Direct
0.000 0.000 0.000
0.000 0.000 0.500
0.667 0.333 0.715
0.333 0.667 0.285
0.667 0.333 0.354
0.333 0.667 0.646
```



no.,final energy (eV per atom),energy relative to the elements (eV per atom)
1,-2.900,0.036
2,-4.143,-0.602
3,-4.500,-0.683